Ac2CoHgO5 after structural relaxation. Source: Alexandria via LeMat-Bulk, functional PBE with a Hubbard U.

The structure in extended XYZ format:
```
18
Lattice="7.3509 0.0000 0.0000 0.0000 7.3509 0.0000 0.0000 0.0000 5.5257" Properties=species:S:1:pos:R:3 pbc="T T T"
Ac 1.3280 2.3474 0.0000
Ac 2.3474 6.0228 0.0000
Ac 5.0035 1.3280 0.0000
Ac 6.0228 5.0035 0.0000
Co 0.0000 3.6754 2.7628
Co 3.6754 0.0000 2.7628
Hg 0.0000 0.0000 2.7628
Hg 3.6754 3.6754 2.7628
O 0.0000 0.0000 0.0000
O 0.9018 4.5772 1.4340
O 0.9018 4.5772 4.0917
O 2.7736 0.9018 1.4340
O 2.7736 0.9018 4.0917
O 3.6754 3.6754 0.0000
O 4.5772 6.4490 1.4340
O 4.5772 6.4490 4.0917
O 6.4490 2.7736 1.4340
O 6.4490 2.7736 4.0917
```

Values from the calculation:
DOS(E_F) = 0.282 states/eV per atom
Symmetry = P4/mbm
Final energy = -6.29 eV/atom